Record 1
VASP calculation (GGA-PBE) on crystalline VSnS3 at its relaxed geometry.

Unit cell a=4.9358 b=4.9358 c=4.9358 alpha=90.00 beta=90.00 gamma=90.00
Closest atoms and distances in Å follow each position.
Space group Pm-3m (No. 221)
One atom of each set of equivalent atoms:
V 0.0000 0.0000 0.0000  12 S 3.49
Sn 0.5000 0.5000 0.5000  6 S 2.47
S 0.0000 0.5000 0.5000  2 Sn 2.47

---

Record 2
VASP calculation (GGA-PBE) on crystalline VSnS at its relaxed geometry.

Unit cell a=3.1922 b=3.1922 c=6.4894 alpha=90.00 beta=90.00 gamma=120.00
Closest atoms and distances in Å follow each position.
Space group P3m1 (No. 156)
One atom of each set of equivalent atoms:
V 0.0000 0.0000 0.0000  3 S 2.30
Sn 0.3333 0.6667 0.6496  3 V 2.93, 6 Sn 3.19
S 0.6667 0.3333 0.2116  3 V 2.30

---

Record 3
VASP calculation (GGA-PBE) on crystalline VSn2S4 at its relaxed geometry.

Unit cell a=4.4913 b=4.4913 c=15.1301 alpha=90.00 beta=90.00 gamma=90.00
Closest atoms and distances in Å follow each position.
Space group I4/mmm (No. 139)
One atom of each set of equivalent atoms:
V 0.0000 0.0000 0.0000  4 S 2.25
Sn 0.0000 0.0000 0.3469  1 S 2.71
S 0.0000 0.0000 0.1680  1 V 2.54, 1 Sn 2.71
S 0.0000 0.5000 0.0000  2 V 2.25

---

Record 4
VASP calculation (GGA-PBE) on crystalline V4SnS8 at its relaxed geometry.

Unit cell a=9.8500 b=9.8500 c=9.8500 alpha=90.00 beta=90.00 gamma=90.00
Closest atoms and distances in Å follow each position.
Space group F-43m (No. 216)
One atom of each set of equivalent atoms:
V 0.1017 0.1017 0.3983  3 S 2.28
Sn 0.0000 0.0000 0.0000  4 S 2.42
S 0.1274 0.1274 0.6274  3 V 2.28
S 0.1421 0.1421 0.1421  1 Sn 2.42, 3 V 2.59

---

no.,DFT total energy (eV for the cell shown),ΔE_f (raw) (eV per formula unit)
1,-22.7,2.8
2,-18.3,-1.1
3,-72.6,-2.7
4,-337.3,-10.8